TaGeTe3: relaxed, PBE-GGA.

Results
Crystal system ... orthorhombic
Space group ... Ima2, No. 46
Formation energy from raw total energies ... 0.1147 eV/atom
Energy relative to the lowest polymorph listed for this composition ... 0 meV per atom

Cell and atoms, written as POSCAR:
```
TaGeTe3
1.0
6.2977 0.0000 -2.4469
-1.1776 6.5513 -3.0308
-0.3255 -0.2171 8.4899
Ta Te Ge
2 6 2
Direct
0.5564 0.1815 0.5000
0.0564 0.8185 0.5000
0.8944 0.4681 0.5000
0.5109 0.0821 0.7823
0.3944 0.5319 0.5000
0.2287 0.7995 0.2177
0.7286 0.9179 0.2177
0.0109 0.2005 0.7823
0.6514 0.8192 0.5001
0.1513 0.1808 0.4999
```